This record from Alexandria via LeMat-Bulk describes an optimized crystal structure of InPbSe2. The functional is GGA-PBEsol.

Structure (POSCAR):
```
InPbSe2
1.0
-1.9109 2.3967 1.9437
-4.2997 -1.4562 -2.3787
-0.8058 -3.5362 3.6210
In Se Pb
1 2 1
direct
0.5000 0.0000 0.0000
0.0000 0.0000 0.5000
0.0000 0.5000 0.0000
0.5000 0.5000 0.5000
```

Values from the calculation:
uncorrected formation energy	-0.265	eV per atom
crystal system	monoclinic
VASP energy	-3.935	eV/atom
total magnetic moment	0.000	μB per formula unit